[1]
{
  "formula": "Cd2InTeRu",
  "functional": "PBE",
  "state": "optimized geometry",
  "cell": [[5.642, 0.000, 0.000], [0.000, 4.878, 0.000], [0.000, 0.000, 5.642]],
  "species": ["Cd", "Cd", "Ru", "Te", "In"],
  "fractional_positions": [[0.000, 0.000, 0.500], [0.500, 0.000, 0.000], [0.000, 0.500, 0.000], [0.000, 0.000, 0.000], [0.500, 0.500, 0.500]],
  "mass_density_g_cm3": 6.08,
  "formation_energy_uncorrected_ev_per_atom": 0.78,
  "final_energy_ev_per_atom": -2.6178,
  "sg": "P4/mmm (123)",
  "m_tot_mub_per_fu": 0.0
}

[2]
{
  "formula": "Sm8HgTe4Se3",
  "functional": "PBE",
  "state": "optimized geometry",
  "cell": [[8.624, 0.000, 0.000], [0.000, 8.745, 0.077], [-4.312, -4.309, 6.103]],
  "species": ["Te", "Te", "Te", "Te", "Sm", "Sm", "Sm", "Sm", "Sm", "Sm", "Sm", "Sm", "Se", "Se", "Se", "Hg"],
  "fractional_positions": [[0.000, 0.000, 0.500], [0.500, 0.000, 0.000], [0.500, 0.000, 0.500], [0.000, 0.000, 0.000], [0.260, 0.281, 0.521], [0.245, 0.729, 0.491], [0.755, 0.271, 0.509], [0.740, 0.719, 0.479], [0.739, 0.729, 0.984], [0.245, 0.729, 0.984], [0.261, 0.271, 0.016], [0.755, 0.271, 0.016], [0.500, 0.500, 0.000], [0.000, 0.500, 0.500], [0.500, 0.500, 0.500], [0.000, 0.500, 0.000]],
  "mass_density_g_cm3": 7.71,
  "formation_energy_uncorrected_ev_per_atom": -1.45,
  "final_energy_ev_per_atom": -5.2629,
  "sg": "R-3m (166)",
  "m_tot_mub_per_fu": 0.0
}

[3]
{
  "formula": "Ba3Bi5O12",
  "functional": "PBE",
  "state": "optimized geometry",
  "cell": [[12.639, 0.000, 0.000], [-4.213, 11.916, 0.000], [-4.213, -5.958, 10.320]],
  "species": ["Bi", "Bi", "Bi", "Bi", "Bi", "Bi", "Bi", "Bi", "Bi", "Bi", "Bi", "Bi", "Bi", "Bi", "Bi", "Bi", "Bi", "Bi", "Bi", "Bi", "O", "O", "O", "O", "O", "O", "O", "O", "O", "O", "O", "O", "O", "O", "O", "O", "O", "O", "O", "O", "O", "O", "O", "O", "O", "O", "O", "O", "O", "O", "O", "O", "O", "O", "O", "O", "O", "O", "O", "O", "O", "O", "O", "O", "O", "O", "O", "O", "Ba", "Ba", "Ba", "Ba", "Ba", "Ba", "Ba", "Ba", "Ba", "Ba", "Ba", "Ba"],
  "fractional_positions": [[0.375, 0.250, 0.125], [0.250, 0.375, 0.625], [0.500, 0.000, 0.000], [0.625, 0.875, 0.250], [0.000, 0.500, 0.500], [0.375, 0.125, 0.750], [0.750, 0.625, 0.375], [0.750, 0.125, 0.875], [0.875, 0.625, 0.750], [0.875, 0.250, 0.625], [0.000, 0.000, 0.000], [0.500, 0.500, 0.500], [0.250, 0.875, 0.125], [0.500, 0.500, 0.000], [0.625, 0.750, 0.875], [0.125, 0.750, 0.375], [0.000, 0.500, 0.000], [0.125, 0.375, 0.250], [0.500, 0.000, 0.500], [0.000, 0.000, 0.500], [0.579, 0.697, 0.676], [0.824, 0.921, 0.303], [0.921, 0.824, 0.803], [0.382, 0.978, 0.803], [0.904, 0.079, 0.882], [0.596, 0.618, 0.421], [0.421, 0.118, 0.596], [0.303, 0.421, 0.824], [0.404, 0.022, 0.324], [0.404, 0.382, 0.579], [0.022, 0.404, 0.824], [0.096, 0.921, 0.118], [0.421, 0.303, 0.324], [0.522, 0.324, 0.904], [0.197, 0.522, 0.618], [0.921, 0.096, 0.618], [0.478, 0.676, 0.096], [0.978, 0.596, 0.176], [0.618, 0.022, 0.197], [0.803, 0.478, 0.382], [0.478, 0.803, 0.882], [0.324, 0.522, 0.404], [0.118, 0.421, 0.096], [0.197, 0.676, 0.079], [0.697, 0.118, 0.022], [0.978, 0.382, 0.303], [0.522, 0.197, 0.118], [0.022, 0.618, 0.697], [0.382, 0.404, 0.079], [0.079, 0.176, 0.197], [0.096, 0.176, 0.478], [0.803, 0.324, 0.921], [0.697, 0.579, 0.176], [0.579, 0.882, 0.404], [0.676, 0.197, 0.579], [0.618, 0.596, 0.921], [0.176, 0.096, 0.978], [0.676, 0.478, 0.596], [0.882, 0.579, 0.904], [0.904, 0.824, 0.522], [0.324, 0.803, 0.421], [0.882, 0.303, 0.478], [0.303, 0.882, 0.978], [0.824, 0.904, 0.022], [0.596, 0.978, 0.676], [0.118, 0.697, 0.522], [0.079, 0.904, 0.382], [0.176, 0.079, 0.697], [0.125, 0.250, 0.875], [0.625, 0.375, 0.750], [0.375, 0.625, 0.250], [0.250, 0.125, 0.375], [0.125, 0.875, 0.750], [0.250, 0.625, 0.875], [0.625, 0.250, 0.375], [0.875, 0.125, 0.250], [0.375, 0.750, 0.625], [0.875, 0.750, 0.125], [0.750, 0.875, 0.625], [0.750, 0.375, 0.125]],
  "mass_density_g_cm3": 7.05,
  "formation_energy_uncorrected_ev_per_atom": -1.60,
  "final_energy_ev_per_atom": -5.8366,
  "sg": "Ia-3d (230)",
  "m_tot_mub_per_fu": 0.0
}

[4]
{
  "formula": "DyY2Mg3",
  "functional": "PBE",
  "state": "optimized geometry",
  "cell": [[3.804, 0.000, 0.000], [0.000, 3.804, 0.000], [0.000, 0.000, 11.348]],
  "species": ["Y", "Y", "Dy", "Mg", "Mg", "Mg"],
  "fractional_positions": [[0.500, 0.500, 0.833], [0.500, 0.500, 0.167], [0.500, 0.500, 0.500], [0.000, 0.000, 0.334], [0.000, 0.000, 0.000], [0.000, 0.000, 0.666]],
  "mass_density_g_cm3": 4.18,
  "final_energy_ev_per_atom": -3.8181,
  "sg": "P4/mmm (123)",
  "formation_enthalpy_0k_ev_per_atom": -0.10,
  "m_tot_mub_per_fu": 0.0
}

[5]
{
  "formula": "Pr2YSn",
  "functional": "PBE",
  "state": "optimized geometry",
  "cell": [[-1.621, -2.732, 2.936], [-2.041, -2.164, -3.140], [5.390, -4.000, -0.747]],
  "species": ["Pr", "Pr", "Y", "Sn"],
  "fractional_positions": [[0.000, 0.000, 0.270], [0.000, 0.000, 0.730], [0.500, 0.500, 0.000], [0.500, 0.500, 0.500]],
  "mass_density_g_cm3": 6.43,
  "e_above_lowest_polymorph_mev_per_atom": 63,
  "final_energy_ev_per_atom": -5.3818,
  "sg": "P4/mmm (123)",
  "formation_enthalpy_0k_ev_per_atom": -0.38,
  "m_tot_mub_per_fu": 0.0
}

[6]
{
  "formula": "IrRuPt2",
  "functional": "PBE",
  "state": "optimized geometry",
  "cell": [[2.757, 0.000, 0.000], [0.000, 3.877, 0.000], [0.000, 0.000, 5.583]],
  "species": ["Ir", "Ru", "Pt", "Pt"],
  "fractional_positions": [[0.500, 0.500, 0.737], [0.000, 0.000, 0.511], [0.500, 0.500, 0.256], [0.000, 0.000, 0.996]],
  "mass_density_g_cm3": 19.01,
  "e_above_lowest_polymorph_mev_per_atom": 43,
  "final_energy_ev_per_atom": -7.5558,
  "sg": "Pmm2 (25)",
  "formation_enthalpy_0k_ev_per_atom": 0.00,
  "m_tot_mub_per_fu": 0.0
}

[7]
{
  "formula": "Na2U3O8",
  "functional": "PBE",
  "state": "optimized geometry",
  "cell": [[-2.815, -4.782, 2.297], [0.808, 0.834, 6.440], [-5.045, 2.708, 3.169]],
  "species": ["O", "O", "O", "O", "O", "O", "O", "O", "Na", "Na", "U", "U", "U"],
  "fractional_positions": [[0.084, 0.599, 0.599], [0.916, 0.401, 0.401], [0.362, 0.114, 0.682], [0.120, 0.093, 0.093], [0.638, 0.886, 0.318], [0.362, 0.682, 0.114], [0.638, 0.318, 0.886], [0.880, 0.907, 0.907], [0.596, 0.306, 0.306], [0.404, 0.694, 0.694], [0.000, 0.256, 0.744], [0.500, 0.000, 0.000], [0.000, 0.744, 0.256]],
  "mass_density_g_cm3": 6.58,
  "formation_energy_uncorrected_ev_per_atom": -2.84,
  "final_energy_ev_per_atom": -8.6999,
  "sg": "C2/m (12)",
  "m_tot_mub_per_fu": 4.0
}

[8]
{
  "formula": "P2IrPtO",
  "functional": "PBE",
  "state": "optimized geometry",
  "cell": [[-3.385, -3.315, -0.103], [3.198, -3.302, 1.152], [-0.678, 0.582, 3.550]],
  "species": ["Ir", "Pt", "O", "P", "P"],
  "fractional_positions": [[0.500, 0.500, 0.500], [0.000, 0.000, 0.000], [0.000, 0.000, 0.500], [0.500, 0.000, 0.000], [0.000, 0.500, 0.000]],
  "mass_density_g_cm3": 9.40,
  "formation_energy_uncorrected_ev_per_atom": 0.81,
  "e_above_lowest_polymorph_mev_per_atom": 470,
  "final_energy_ev_per_atom": -5.3244,
  "sg": "P4/mmm (123)",
  "m_tot_mub_per_fu": 0.4
}

[9]
{
  "formula": "Ta2TiZnN",
  "functional": "PBE",
  "state": "optimized geometry",
  "cell": [[-3.801, 0.437, 1.930], [-1.757, -2.667, -2.857], [0.848, -3.103, 2.374]],
  "species": ["Zn", "Ta", "Ta", "Ti", "N"],
  "fractional_positions": [[0.500, 0.500, 0.500], [0.500, 0.000, 0.000], [0.000, 0.500, 0.000], [0.000, 0.000, 0.500], [0.000, 0.000, 0.000]],
  "mass_density_g_cm3": 11.07,
  "formation_energy_uncorrected_ev_per_atom": -0.50,
  "final_energy_ev_per_atom": -8.7425,
  "sg": "P4/mmm (123)",
  "m_tot_mub_per_fu": 0.0
}

[10]
{
  "formula": "Sm3Y6Tm2Zr",
  "functional": "PBE",
  "state": "optimized geometry",
  "cell": [[-5.980, 0.017, 1.330], [2.115, -3.549, -4.524], [2.924, -7.412, 8.560]],
  "species": ["Y", "Y", "Y", "Y", "Y", "Y", "Tm", "Tm", "Sm", "Sm", "Sm", "Zr"],
  "fractional_positions": [[0.592, 0.920, 0.758], [0.754, 0.754, 0.241], [0.246, 0.246, 0.759], [0.920, 0.592, 0.758], [0.408, 0.080, 0.242], [0.080, 0.408, 0.242], [0.667, 0.333, 0.000], [0.333, 0.667, 0.000], [0.500, 0.500, 0.500], [0.166, 0.834, 0.500], [0.834, 0.166, 0.500], [0.000, 0.000, 0.000]],
  "mass_density_g_cm3": 6.27,
  "final_energy_ev_per_atom": -5.8222,
  "sg": "C2/m (12)",
  "formation_enthalpy_0k_ev_per_atom": 0.05,
  "m_tot_mub_per_fu": 0.0
}

[11]
{
  "formula": "CuMoPCl2",
  "functional": "PBE",
  "state": "optimized geometry",
  "cell": [[-3.196, 1.551, -2.809], [-3.034, -0.174, 3.357], [1.129, 4.608, 1.259]],
  "species": ["P", "Mo", "Cu", "Cl", "Cl"],
  "fractional_positions": [[0.000, 0.000, 0.500], [0.500, 0.500, 0.500], [0.000, 0.000, 0.000], [0.000, 0.500, 0.000], [0.500, 0.000, 0.000]],
  "mass_density_g_cm3": 4.31,
  "formation_energy_uncorrected_ev_per_atom": 0.75,
  "e_above_lowest_polymorph_mev_per_atom": 352,
  "final_energy_ev_per_atom": -4.0564,
  "sg": "P4/mmm (123)",
  "m_tot_mub_per_fu": 2.9
}

[12]
{
  "formula": "InSnPd2Rh",
  "functional": "PBE",
  "state": "optimized geometry",
  "cell": [[-2.046, -3.248, 2.997], [-0.059, -3.622, -3.965], [4.420, -1.543, 1.344]],
  "species": ["Pd", "Pd", "Sn", "In", "Rh"],
  "fractional_positions": [[0.000, 0.000, 0.500], [0.500, 0.000, 0.000], [0.000, 0.500, 0.000], [0.000, 0.000, 0.000], [0.500, 0.500, 0.500]],
  "mass_density_g_cm3": 7.16,
  "final_energy_ev_per_atom": -3.8269,
  "sg": "P4/mmm (123)",
  "formation_enthalpy_0k_ev_per_atom": 1.07,
  "m_tot_mub_per_fu": 0.5
}

[13]
{
  "formula": "La4Dy2Ho5",
  "functional": "PBE",
  "state": "optimized geometry",
  "cell": [[3.542, 0.000, 0.000], [0.000, 12.846, -2.770], [-1.771, -3.034, 8.962]],
  "species": ["La", "La", "La", "La", "Dy", "Dy", "Ho", "Ho", "Ho", "Ho", "Ho"],
  "fractional_positions": [[0.827, 0.964, 0.653], [0.091, 0.498, 0.182], [0.909, 0.502, 0.818], [0.173, 0.036, 0.347], [0.781, 0.646, 0.562], [0.219, 0.354, 0.438], [0.375, 0.249, 0.750], [0.014, 0.220, 0.028], [0.625, 0.751, 0.250], [0.500, 0.000, 0.000], [0.986, 0.780, 0.972]],
  "mass_density_g_cm3": 7.49,
  "e_above_lowest_polymorph_mev_per_atom": 163,
  "final_energy_ev_per_atom": -4.4761,
  "sg": "C2/m (12)",
  "formation_enthalpy_0k_ev_per_atom": 0.23,
  "m_tot_mub_per_fu": 0.0
}

[14]
{
  "formula": "Cs2PrAuBr6",
  "functional": "PBE",
  "state": "optimized geometry",
  "cell": [[8.148, 0.899, 0.171], [0.889, 7.985, -0.113], [4.642, 4.363, 6.514]],
  "species": ["Cs", "Cs", "Br", "Br", "Br", "Br", "Br", "Br", "Pr", "Au"],
  "fractional_positions": [[0.243, 0.746, 0.494], [0.757, 0.254, 0.506], [0.366, 0.809, 0.989], [0.182, 0.304, 0.956], [0.634, 0.191, 0.011], [0.207, 0.197, 0.554], [0.818, 0.696, 0.044], [0.793, 0.803, 0.446], [0.000, 0.000, 0.000], [0.500, 0.500, 0.000]],
  "mass_density_g_cm3": 4.32,
  "formation_energy_uncorrected_ev_per_atom": -1.48,
  "final_energy_ev_per_atom": -3.4595,
  "sg": "P-1 (2)",
  "m_tot_mub_per_fu": 0.0
}

[15]
{
  "formula": "SiIrSe2",
  "functional": "PBE",
  "state": "optimized geometry",
  "cell": [[-4.653, -0.831, -3.989], [-3.166, -5.182, -1.173], [1.991, 4.422, 3.840]],
  "species": ["Si", "Se", "Se", "Ir"],
  "fractional_positions": [[0.428, 0.428, 0.000], [0.770, 0.270, 0.500], [0.053, 0.053, 0.000], [0.249, 0.749, 0.500]],
  "mass_density_g_cm3": 8.38,
  "formation_energy_uncorrected_ev_per_atom": 0.26,
  "final_energy_ev_per_atom": -5.0546,
  "sg": "Imm2 (44)",
  "m_tot_mub_per_fu": 0.0
}

[16]
{
  "formula": "SnH3Pt",
  "functional": "PBE",
  "state": "optimized geometry",
  "cell": [[3.777, 0.000, 0.000], [0.000, 3.777, 0.000], [0.000, 0.000, 3.777]],
  "species": ["Pt", "H", "H", "H", "Sn"],
  "fractional_positions": [[0.000, 0.000, 0.000], [0.000, 0.500, 0.000], [0.500, 0.000, 0.000], [0.000, 0.000, 0.500], [0.500, 0.500, 0.500]],
  "mass_density_g_cm3": 9.76,
  "e_above_lowest_polymorph_mev_per_atom": 0,
  "final_energy_ev_per_atom": -3.8883,
  "sg": "Pm-3m (221)",
  "m_tot_mub_per_fu": 0.0
}

[17]
{
  "formula": "SrSb2TeRh",
  "functional": "PBE",
  "state": "optimized geometry",
  "cell": [[5.092, 0.000, 0.000], [0.000, 5.092, 0.000], [0.000, 0.000, 5.869]],
  "species": ["Sb", "Sb", "Sr", "Te", "Rh"],
  "fractional_positions": [[0.500, 0.000, 0.000], [0.000, 0.500, 0.000], [0.500, 0.500, 0.500], [0.000, 0.000, 0.500], [0.000, 0.000, 0.000]],
  "mass_density_g_cm3": 6.13,
  "formation_energy_uncorrected_ev_per_atom": -0.34,
  "e_above_lowest_polymorph_mev_per_atom": 0,
  "final_energy_ev_per_atom": -4.4230,
  "sg": "P4/mmm (123)",
  "m_tot_mub_per_fu": 0.0
}

[18]
{
  "formula": "CaGe2O5",
  "functional": "PBE",
  "state": "optimized geometry",
  "cell": [[5.561, 0.000, 0.000], [-1.563, 5.337, 0.000], [1.674, 2.235, 6.401]],
  "species": ["O", "O", "O", "O", "O", "O", "O", "O", "O", "O", "Ge", "Ge", "Ge", "Ge", "Ca", "Ca"],
  "fractional_positions": [[0.249, 0.366, 0.425], [0.930, 0.070, 0.250], [0.634, 0.751, 0.075], [0.098, 0.692, 0.101], [0.692, 0.098, 0.601], [0.308, 0.902, 0.399], [0.366, 0.249, 0.925], [0.070, 0.930, 0.750], [0.751, 0.634, 0.575], [0.902, 0.308, 0.899], [0.315, 0.685, 0.250], [0.000, 0.000, 0.500], [0.000, 0.000, 0.000], [0.685, 0.315, 0.750], [0.671, 0.329, 0.250], [0.329, 0.671, 0.750]],
  "mass_density_g_cm3": 4.64,
  "formation_energy_uncorrected_ev_per_atom": -2.07,
  "final_energy_ev_per_atom": -6.5754,
  "sg": "C2/c (15)",
  "m_tot_mub_per_fu": 0.0
}

[19]
{
  "formula": "PmAgSb2",
  "functional": "PBE",
  "state": "optimized geometry",
  "cell": [[4.028, 0.000, 0.000], [0.000, 4.028, 0.000], [0.000, 0.000, 6.424]],
  "species": ["Sb", "Sb", "Ag", "Pm"],
  "fractional_positions": [[0.000, 0.000, 0.765], [0.000, 0.000, 0.235], [0.500, 0.500, 0.000], [0.500, 0.500, 0.500]],
  "mass_density_g_cm3": 7.91,
  "formation_energy_uncorrected_ev_per_atom": -0.35,
  "e_above_lowest_polymorph_mev_per_atom": 318,
  "final_energy_ev_per_atom": -4.3156,
  "sg": "P4/mmm (123)",
  "m_tot_mub_per_fu": 0.0
}

[20]
{
  "formula": "BaNa3",
  "functional": "PBE",
  "state": "optimized geometry",
  "cell": [[5.696, 0.000, 0.000], [0.000, 5.696, 0.000], [0.000, 0.000, 5.696]],
  "species": ["Ba", "Na", "Na", "Na"],
  "fractional_positions": [[0.000, 0.000, 0.000], [0.500, 0.000, 0.500], [0.000, 0.500, 0.500], [0.500, 0.500, 0.000]],
  "mass_density_g_cm3": 1.85,
  "final_energy_ev_per_atom": -1.4113,
  "sg": "Pm-3m (221)",
  "formation_enthalpy_0k_ev_per_atom": 0.06,
  "m_tot_mub_per_fu": 0.0
}

[21]
{
  "formula": "Co2SiIr",
  "functional": "PBE",
  "state": "optimized geometry",
  "cell": [[3.509, 0.000, 0.000], [0.000, 3.509, 0.000], [1.754, 1.754, 8.650]],
  "species": ["Co", "Co", "Co", "Co", "Ir", "Ir", "Si", "Si"],
  "fractional_positions": [[0.375, 0.404, 0.750], [0.875, 0.846, 0.750], [0.596, 0.125, 0.250], [0.154, 0.625, 0.250], [0.000, 0.000, 0.000], [0.750, 0.250, 0.500], [0.250, 0.750, 0.500], [0.500, 0.500, 0.000]],
  "mass_density_g_cm3": 10.55,
  "formation_energy_uncorrected_ev_per_atom": 0.16,
  "final_energy_ev_per_atom": -6.9611,
  "sg": "I-42d (122)",
  "m_tot_mub_per_fu": 3.3
}

[22]
{
  "formula": "Si2NiAg",
  "functional": "PBE",
  "state": "optimized geometry",
  "cell": [[-5.560, 4.683, -3.864], [-4.675, 3.075, -6.039], [-6.702, 2.111, -4.289]],
  "species": ["Ag", "Si", "Si", "Ni"],
  "fractional_positions": [[0.250, 0.250, 0.250], [0.011, 0.011, 0.011], [0.489, 0.489, 0.489], [0.750, 0.750, 0.750]],
  "mass_density_g_cm3": 6.53,
  "formation_energy_uncorrected_ev_per_atom": -0.02,
  "e_above_lowest_polymorph_mev_per_atom": 0,
  "final_energy_ev_per_atom": -4.8849,
  "sg": "R-3m (166)",
  "m_tot_mub_per_fu": 0.0
}